# BiAuIO2 GGA-PBE relaxed
# Formation energy without anion corrections (eV per atom): 0.465
# Spin magnetization (Bohr magnetons per cell): 0.0
data_BiAuIO2
_chemical_formula_sum 'Bi1 Au1 I1 O2'
_cell_length_a 4.417
_cell_length_b 4.417
_cell_length_c 5.289
_cell_angle_alpha 90.00
_cell_angle_beta 90.00
_cell_angle_gamma 90.00
_symmetry_space_group_name_H-M 'P 4/m m m'
_symmetry_Int_Tables_number 123
_symmetry_space_group_name_Hall '-P 4 2'
loop_
_atom_site_label
_atom_site_fract_x
_atom_site_fract_y
_atom_site_fract_z
_atom_site_occupancy
Bi1 0.000 0.000 0.000 1
Au1 0.500 0.500 0.500 1
I1 0.500 0.500 0.000 1
O1 0.000 0.500 0.500 1